(1)
# BaLa2Au PBE optimized geometry
# energy relative to the elements = -0.056 eV per atom
data_BaLa2Au
_symmetry_space_group_name_H-M 'I -4 m 2'
_symmetry_Int_Tables_number 119
_symmetry_space_group_name_Hall 'I -4 -2'
_cell_length_a 4.856
_cell_length_b 4.856
_cell_length_c 11.015
_cell_angle_alpha 90.00
_cell_angle_beta 90.00
_cell_angle_gamma 90.00
loop_
_atom_site_label
_atom_site_type_symbol
_atom_site_fract_x
_atom_site_fract_y
_atom_site_fract_z
_atom_site_occupancy
Ba1 Ba 0.000 0.000 0.000 1
La1 La 0.000 0.000 0.500 1
La2 La 0.000 0.500 0.750 1
Au1 Au 0.000 0.500 0.250 1

=====

(2)
# RbPBr3 PBE optimized geometry
# ΔE_f (raw) = -0.716 eV per atom
data_RbPBr3
_symmetry_space_group_name_H-M 'P m -3 m'
_symmetry_Int_Tables_number 221
_symmetry_space_group_name_Hall '-P 4 2 3'
_cell_length_a 5.330
_cell_length_b 5.330
_cell_length_c 5.330
_cell_angle_alpha 90.00
_cell_angle_beta 90.00
_cell_angle_gamma 90.00
loop_
_atom_site_label
_atom_site_type_symbol
_atom_site_fract_x
_atom_site_fract_y
_atom_site_fract_z
_atom_site_occupancy
Rb1 Rb 0.000 0.000 0.000 1
P1 P 0.500 0.500 0.500 1
Br1 Br 0.000 0.500 0.500 1